First-principles (PBE) data for an optimized crystal structure of HfGe2Mo, as listed in OQMD via LeMat-Bulk.

Calculated values
spin magnetization: 1.13 μB per formula unit
calculated volume: 70.4 Å³ per cell
mass density: 9.9 g/cm³
E: -7.320 eV/atom
space group: F-43m (216)

Unit cell a=4.6352 b=4.6352 c=4.6352 alpha=60.00 beta=60.00 gamma=60.00
Last column: nearest neighbours and their distance in Å.
Fractional positions:
Hf: 0.2500 0.2500 0.2500  4 Mo 2.84, 4 Ge 2.84
Ge: 0.0000 0.0000 0.0000  4 Hf 2.84, 4 Ge 2.84
Ge: 0.7500 0.7500 0.7500  4 Mo 2.84, 4 Ge 2.84
Mo: 0.5000 0.5000 0.5000  4 Ge 2.84, 4 Hf 2.84

=====

First-principles (PBE) data for an optimized crystal structure of Hf2Ge2Mo, as listed in OQMD via LeMat-Bulk.

Calculated values
spin magnetization: 0.05 μB per formula unit
energy above the most stable polymorph in this dataset: 896 meV/atom
calculated volume: 95.0 Å³ per cell
mass density: 10.5 g/cm³
space group: I4/mmm (139)

Unit cell a=6.5835 b=6.5835 c=6.5835 alpha=144.65 beta=144.65 gamma=50.86
Last column: nearest neighbours and their distance in Å.
Fractional positions:
Ge: 0.4029 0.4029 0.0000  1 Ge 2.31
Ge: 0.5971 0.5971 0.0000  1 Ge 2.31
Hf: 0.7500 0.2500 0.5000  4 Ge 2.70, 4 Hf 2.83
Hf: 0.2500 0.7500 0.5000  4 Ge 2.70, 4 Hf 2.83
Mo: 0.0000 0.0000 0.0000  8 Ge 3.05

=====

First-principles (PBE) data for an optimized crystal structure of HfGe2Mo2, as listed in OQMD via LeMat-Bulk.

Calculated values
spin magnetization: 0.01 μB per formula unit
energy above the most stable polymorph in this dataset: 0 meV/atom
calculated volume: 165.1 Å³ per cell
mass density: 10.4 g/cm³
space group: P4/mbm (127)

Unit cell a=7.1143 b=7.1143 c=3.2622 alpha=90.00 beta=90.00 gamma=90.00
Last column: nearest neighbours and their distance in Å.
Fractional positions:
Hf: 0.0000 0.0000 0.0000  4 Ge 2.75
Hf: 0.5000 0.5000 0.0000  4 Ge 2.75
Ge: 0.3599 0.8599 0.0000  6 Mo 2.64-2.65, 2 Hf 2.75, 1 Ge 2.82
Ge: 0.6401 0.1401 0.0000  6 Mo 2.64-2.65, 2 Hf 2.75, 1 Ge 2.82
Ge: 0.8599 0.6401 0.0000  6 Mo 2.64-2.65, 2 Hf 2.75, 1 Ge 2.82
Ge: 0.1401 0.3599 0.0000  6 Mo 2.64-2.65, 2 Hf 2.75, 1 Ge 2.82
Mo: 0.3470 0.1530 0.5000  6 Ge 2.64-2.65
Mo: 0.8470 0.3470 0.5000  6 Ge 2.64-2.65
Mo: 0.1530 0.6530 0.5000  6 Ge 2.64-2.65
Mo: 0.6530 0.8470 0.5000  6 Ge 2.64-2.65

=====

First-principles (PBE) data for an optimized crystal structure of Hf2Ge2Mo, as listed in OQMD via LeMat-Bulk.

Calculated values
spin magnetization: 0.01 μB per formula unit
energy above the most stable polymorph in this dataset: 620 meV/atom
calculated volume: 95.8 Å³ per cell
mass density: 10.4 g/cm³
space group: I4/mmm (139)

Unit cell a=8.0925 b=8.0925 c=8.0925 alpha=154.82 beta=154.82 gamma=35.91
Last column: nearest neighbours and their distance in Å.
Fractional positions:
Hf: 0.5989 0.5989 0.0000  4 Ge 2.92, 4 Mo 2.92, 1 Hf 3.05
Hf: 0.4011 0.4011 0.0000  4 Ge 2.92, 4 Mo 2.92, 1 Hf 3.05
Ge: 0.7500 0.2500 0.5000  4 Ge 2.49
Ge: 0.2500 0.7500 0.5000  4 Ge 2.49
Mo: 0.0000 0.0000 0.0000  8 Hf 2.92

=====

First-principles (PBE) data for an optimized crystal structure of Hf9GeMo4, as listed in OQMD via LeMat-Bulk.

Calculated values
spin magnetization: 0.01 μB per formula unit
calculated volume: 565.8 Å³ per cell
mass density: 12.1 g/cm³
E: -10.048 eV/atom
space group: P6_3/mmc (194)

Unit cell a=8.6619 b=8.6619 c=8.7073 alpha=90.00 beta=90.00 gamma=120.00
Last column: nearest neighbours and their distance in Å.
Fractional positions:
Mo: 0.0000 0.0000 0.5000  6 Mo 2.73, 6 Hf 2.98
Mo: 0.7796 0.8898 0.2500  4 Mo 2.73-2.86, 4 Hf 2.87-2.91
Mo: 0.8898 0.7796 0.7500  4 Mo 2.73-2.86, 4 Hf 2.87-2.91
Mo: 0.8898 0.1102 0.7500  4 Mo 2.73-2.86, 4 Hf 2.87-2.91
Mo: 0.2204 0.1102 0.7500  4 Mo 2.73-2.86, 4 Hf 2.87-2.91
Mo: 0.1102 0.2204 0.2500  4 Mo 2.73-2.86, 4 Hf 2.87-2.91
Mo: 0.1102 0.8898 0.2500  4 Mo 2.73-2.86, 4 Hf 2.87-2.91
Mo: 0.0000 0.0000 0.0000  6 Mo 2.73, 6 Hf 2.98
Hf: 0.5387 0.4613 0.7500  2 Mo 2.91, 1 Ge 3.08, 8 Hf 3.24-3.26
Hf: 0.1968 0.8032 0.5434  1 Ge 2.73, 2 Mo 2.87-2.98, 2 Hf 3.05
Hf: 0.1968 0.8032 0.9567  1 Ge 2.73, 2 Mo 2.87-2.98, 2 Hf 3.05
Hf: 0.1968 0.3936 0.5434  1 Ge 2.73, 2 Mo 2.87-2.98, 2 Hf 3.05
Hf: 0.4613 0.9225 0.2500  2 Mo 2.91, 1 Ge 3.08, 8 Hf 3.24-3.26
Hf: 0.1968 0.3936 0.9567  1 Ge 2.73, 2 Mo 2.87-2.98, 2 Hf 3.05
Hf: 0.3936 0.1968 0.0434  1 Ge 2.73, 2 Mo 2.87-2.98, 2 Hf 3.05
Hf: 0.8032 0.6064 0.0434  1 Ge 2.73, 2 Mo 2.87-2.98, 2 Hf 3.05
Hf: 0.8032 0.6064 0.4566  1 Ge 2.73, 2 Mo 2.87-2.98, 2 Hf 3.05
Hf: 0.9225 0.4613 0.7500  2 Mo 2.91, 1 Ge 3.08, 8 Hf 3.24-3.26
Hf: 0.0775 0.5387 0.2500  2 Mo 2.91, 1 Ge 3.08, 8 Hf 3.24-3.26
Hf: 0.3936 0.1968 0.4566  1 Ge 2.73, 2 Mo 2.87-2.98, 2 Hf 3.05
Hf: 0.5387 0.0775 0.7500  2 Mo 2.91, 1 Ge 3.08, 8 Hf 3.24-3.26
Hf: 0.6064 0.8032 0.5434  1 Ge 2.73, 2 Mo 2.87-2.98, 2 Hf 3.05
Hf: 0.6064 0.8032 0.9567  1 Ge 2.73, 2 Mo 2.87-2.98, 2 Hf 3.05
Hf: 0.4613 0.5387 0.2500  2 Mo 2.91, 1 Ge 3.08, 8 Hf 3.24-3.26
Hf: 0.8032 0.1968 0.0434  1 Ge 2.73, 2 Mo 2.87-2.98, 2 Hf 3.05
Hf: 0.8032 0.1968 0.4566  1 Ge 2.73, 2 Mo 2.87-2.98, 2 Hf 3.05
Ge: 0.6667 0.3333 0.2500  6 Hf 2.73
Ge: 0.3333 0.6667 0.7500  6 Hf 2.73

=====

First-principles (PBE) data for an optimized crystal structure of HfGe2Mo2, as listed in OQMD via LeMat-Bulk.

Calculated values
spin magnetization: 0.00 μB per formula unit
energy above the most stable polymorph in this dataset: 396 meV/atom
calculated volume: 90.9 Å³ per cell
mass density: 9.4 g/cm³
space group: I4/mmm (139)

Unit cell a=5.3767 b=5.3767 c=5.3767 alpha=129.21 beta=129.21 gamma=74.68
Last column: nearest neighbours and their distance in Å.
Fractional positions:
Mo: 0.3682 0.3682 0.0000  1 Mo 2.25, 4 Ge 2.52
Mo: 0.6318 0.6318 0.0000  1 Mo 2.25, 4 Ge 2.52
Ge: 0.2500 0.7500 0.5000  4 Mo 2.52
Ge: 0.7500 0.2500 0.5000  4 Mo 2.52
Hf: 0.0000 0.0000 0.0000  8 Ge 3.14, 10 Mo 3.15-3.45

=====

First-principles (PBE) data for an optimized crystal structure of HfGe2Mo2, as listed in OQMD via LeMat-Bulk.

Calculated values
spin magnetization: 0.08 μB per formula unit
energy above the most stable polymorph in this dataset: 166 meV/atom
calculated volume: 87.2 Å³ per cell
mass density: 9.8 g/cm³
space group: I4/mmm (139)

Unit cell a=6.3137 b=6.3137 c=6.3137 alpha=143.83 beta=143.83 gamma=52.08
Last column: nearest neighbours and their distance in Å.
Fractional positions:
Hf: 0.0000 0.0000 0.0000  8 Ge 3.01
Mo: 0.7500 0.2500 0.5000  4 Ge 2.56, 4 Mo 2.77
Mo: 0.2500 0.7500 0.5000  4 Ge 2.56, 4 Mo 2.77
Ge: 0.6044 0.6044 0.0000  1 Ge 2.37, 4 Mo 2.56
Ge: 0.3956 0.3956 0.0000  1 Ge 2.37, 4 Mo 2.56

=====

First-principles (PBE) data for an optimized crystal structure of Hf4Ge3Mo2N3, as listed in OQMD via LeMat-Bulk.

Calculated values
spin magnetization: 0.00 μB per formula unit
calculated volume: 349.2 Å³ per cell
mass density: 11.1 g/cm³
E: -9.193 eV/atom
space group: C2/c (15)

Unit cell a=5.6147 b=5.6147 c=13.2166 alpha=102.29 beta=102.29 gamma=59.83
Last column: nearest neighbours and their distance in Å.
Fractional positions:
Hf: 0.6996 0.8544 0.5952  3 N 2.18-2.22
Hf: 0.7909 0.9796 0.9052  3 N 2.19-2.22
Hf: 0.8544 0.6996 0.0952  3 N 2.18-2.22
Hf: 0.2091 0.0204 0.0948  3 N 2.19-2.22
Hf: 0.1456 0.3004 0.9048  3 N 2.18-2.22
Hf: 0.0204 0.2091 0.5948  3 N 2.19-2.22
Hf: 0.9796 0.7909 0.4052  3 N 2.19-2.22
Hf: 0.3004 0.1456 0.4048  3 N 2.18-2.22
N: 0.5000 0.0000 0.0000  4 Hf 2.20-2.21, 2 Mo 2.25
N: 0.1392 0.6792 0.0000  4 Hf 2.18-2.22, 2 Mo 2.23-2.24
N: 0.6792 0.1392 0.5000  4 Hf 2.18-2.22, 2 Mo 2.23-2.24
N: 0.8608 0.3208 0.0000  4 Hf 2.18-2.22, 2 Mo 2.23-2.24
N: 0.3208 0.8608 0.5000  4 Hf 2.18-2.22, 2 Mo 2.23-2.24
N: 0.0000 0.5000 0.5000  4 Hf 2.20-2.21, 2 Mo 2.25
Mo: 0.5302 0.3776 0.0862  3 N 2.23-2.25
Mo: 0.6224 0.4698 0.4138  3 N 2.23-2.25
Mo: 0.4698 0.6224 0.9138  3 N 2.23-2.25
Mo: 0.3776 0.5302 0.5862  3 N 2.23-2.25
Ge: 0.7140 0.5843 0.7522  2 Mo 2.65-2.69, 4 Hf 2.78-2.81, 2 Ge 2.88-2.89
Ge: 0.2861 0.4157 0.2478  2 Mo 2.65-2.69, 4 Hf 2.78-2.81, 2 Ge 2.88-2.89
Ge: 0.8808 0.1192 0.2500  2 Mo 2.71, 4 Hf 2.82-2.83, 2 Ge 2.88
Ge: 0.5843 0.7140 0.2522  2 Mo 2.65-2.69, 4 Hf 2.78-2.81, 2 Ge 2.88-2.89
Ge: 0.4157 0.2861 0.7478  2 Mo 2.65-2.69, 4 Hf 2.78-2.81, 2 Ge 2.88-2.89
Ge: 0.1192 0.8808 0.7500  2 Mo 2.71, 4 Hf 2.82-2.83, 2 Ge 2.88

=====

First-principles (PBE) data for an optimized crystal structure of HfNiGeMo, as listed in OQMD via LeMat-Bulk.

Calculated values
spin magnetization: 0.00 μB per formula unit
energy above the most stable polymorph in this dataset: 0 meV/atom
calculated volume: 61.9 Å³ per cell
mass density: 10.9 g/cm³
space group: F-43m (216)

Unit cell a=4.4398 b=4.4398 c=4.4398 alpha=60.00 beta=60.00 gamma=60.00
Last column: nearest neighbours and their distance in Å.
Fractional positions:
Hf: 0.5000 0.5000 0.5000  4 Ni 2.72, 4 Mo 2.72
Ni: 0.7500 0.7500 0.7500  4 Hf 2.72, 4 Ge 2.72
Mo: 0.2500 0.2500 0.2500  4 Hf 2.72, 4 Ge 2.72
Ge: 0.0000 0.0000 0.0000  4 Ni 2.72, 4 Mo 2.72